A relaxed structure of PuZrCuO6, computed with PBE-GGA.

The structure in extended XYZ format:
```
18
Lattice="5.520 0.000 0.000 -2.760 4.781 0.000 0.000 0.000 8.957" Properties=species:S:1:pos:R:3 pbc="T T T"
Pu 0.000 3.187 2.239
Pu 2.760 1.594 6.718
Zr 0.000 3.187 6.718
Zr 2.760 1.594 2.239
Cu 0.000 0.000 0.000
Cu 0.000 0.000 4.479
O -0.916 1.697 1.181
O -1.749 3.140 3.297
O 0.916 1.697 3.297
O -0.833 4.725 1.181
O 1.927 0.055 5.660
O 1.011 1.641 7.776
O 1.749 3.140 1.181
O 0.833 4.725 3.297
O 3.593 0.055 7.776
O 1.845 3.084 5.660
O 4.509 1.641 5.660
O 3.676 3.084 7.776
```

Properties
The value obtained for the final energy is -8.460 eV per atom. The mass density comes out at 6.95 g cm⁻³. The space group is P-31c, No. 163. The calculation puts the energy relative to the elements, uncorrected at -2.157 eV/atom.

=====

A relaxed structure of Rb2CuO2, computed with PBE-GGA.

The structure in extended XYZ format:
```
10
Lattice="4.182 0.000 0.000 0.000 4.182 0.000 0.000 0.000 13.413" Properties=species:S:1:pos:R:3 pbc="T T T"
Rb 0.000 0.000 2.073
Rb 0.000 0.000 11.340
Rb 2.091 2.091 4.633
Rb 2.091 2.091 8.780
Cu 0.000 0.000 6.707
Cu 2.091 2.091 0.000
O 0.000 0.000 4.961
O 0.000 0.000 8.453
O 2.091 2.091 1.746
O 2.091 2.091 11.667
```

Properties
The value obtained for the final energy is -4.203 eV per atom. The mass density comes out at 3.77 g cm⁻³. The space group is I4/mmm, No. 139. The calculation puts the energy relative to the elements, uncorrected at -1.014 eV/atom.